Record 1
The following is a DFT calculation (GGA-PBE) of a relaxed structure of Sb3RuN.

Output
For the total magnetization, the calculation gives 0.00 μB/f.u. Its volume is 95.9 Å³/cell. The uncorrected formation energy comes out at 0.803 eV per atom. As for the crystal system: cubic. The calculation puts the energy above the most stable polymorph in this dataset at 0 meV/atom.

a = 4.5771 Å, b = 4.5771 Å, c = 4.5771 Å
α = 90.00°, β = 90.00°, γ = 90.00°
With the nearest neighbours (Å) after each atom.
Sites, in units of the cell vectors:
Sb 0.0000 0.5000 0.0000  2 N 2.29
Sb 0.0000 0.0000 0.5000  2 N 2.29
Sb 0.5000 0.0000 0.0000  2 N 2.29
N 0.0000 0.0000 0.0000  6 Sb 2.29
Ru 0.5000 0.5000 0.5000  12 Sb 3.24

---

Record 2
The following is a DFT calculation (GGA-PBE) of a relaxed structure of SbRu3N.

Output
For the total magnetization, the calculation gives 0.00 μB/f.u. Its volume is 69.8 Å³/cell. The uncorrected formation energy comes out at 0.277 eV per atom. As for the crystal system: cubic. The calculation puts the energy above the most stable polymorph in this dataset at 0 meV/atom.

a = 4.1169 Å, b = 4.1169 Å, c = 4.1169 Å
α = 90.00°, β = 90.00°, γ = 90.00°
With the nearest neighbours (Å) after each atom.
Sites, in units of the cell vectors:
Sb 0.5000 0.5000 0.5000  12 Ru 2.91
N 0.0000 0.0000 0.0000  6 Ru 2.06
Ru 0.0000 0.5000 0.0000  2 N 2.06
Ru 0.0000 0.0000 0.5000  2 N 2.06
Ru 0.5000 0.0000 0.0000  2 N 2.06

---

Record 3
The following is a DFT calculation (GGA-PBE) of a relaxed structure of SbRuN3.

Output
For the total magnetization, the calculation gives 0.00 μB/f.u. Its volume is 59.9 Å³/cell. The uncorrected formation energy comes out at 1.181 eV per atom. As for the crystal system: cubic.

a = 3.9127 Å, b = 3.9127 Å, c = 3.9127 Å
α = 90.00°, β = 90.00°, γ = 90.00°
With the nearest neighbours (Å) after each atom.
Sites, in units of the cell vectors:
Sb 0.5000 0.5000 0.5000  12 N 2.77
N 0.0000 0.5000 0.0000  2 Ru 1.96
N 0.0000 0.0000 0.5000  2 Ru 1.96
N 0.5000 0.0000 0.0000  2 Ru 1.96
Ru 0.0000 0.0000 0.0000  6 N 1.96

---

Record 4
The following is a DFT calculation (GGA-PBE) of a relaxed structure of Sb2RuN.

Output
For the total magnetization, the calculation gives 0.00 μB/f.u. Its volume is 164.2 Å³/cell. The uncorrected formation energy comes out at 0.524 eV per atom. As for the crystal system: tetragonal.

a = 5.6940 Å, b = 5.6940 Å, c = 6.4698 Å
α = 63.89°, β = 63.89°, γ = 90.00°
With the nearest neighbours (Å) after each atom.
Sites, in units of the cell vectors:
Sb 0.5842 0.1250 0.2500  2 N 2.25
Sb 0.1658 0.6250 0.2500  2 N 2.25
Sb 0.3750 0.4158 0.7500  2 N 2.25
Sb 0.8750 0.8342 0.7500  2 N 2.25
N 0.5000 0.5000 0.0000  4 Sb 2.25
N 0.2500 0.7500 0.5000  4 Sb 2.25
Ru 0.0000 0.0000 0.0000  4 Sb 2.52
Ru 0.7500 0.2500 0.5000  4 Sb 2.52

---

Record 5
The following is a DFT calculation (GGA-PBE) of a relaxed structure of SbRu3N.

Output
For the total magnetization, the calculation gives 6.93 μB/f.u. Its volume is 119.0 Å³/cell. The uncorrected formation energy comes out at 2.794 eV per atom. As for the crystal system: cubic. The calculation puts the energy above the most stable polymorph in this dataset at 2517 meV/atom.

a = 4.9183 Å, b = 4.9183 Å, c = 4.9183 Å
α = 90.00°, β = 90.00°, γ = 90.00°
With the nearest neighbours (Å) after each atom.
Sites, in units of the cell vectors:
Sb 0.0000 0.0000 0.0000  6 Ru 2.46
N 0.5000 0.5000 0.5000  12 Ru 3.48
Ru 0.0000 0.5000 0.0000  2 Sb 2.46
Ru 0.0000 0.0000 0.5000  2 Sb 2.46
Ru 0.5000 0.0000 0.0000  2 Sb 2.46

---

Record 6
The following is a DFT calculation (GGA-PBE) of a relaxed structure of SbRuN.

Output
For the total magnetization, the calculation gives 0.00 μB/f.u. Its volume is 134.8 Å³/cell. The uncorrected formation energy comes out at 0.104 eV per atom. As for the crystal system: monoclinic.

a = 3.1030 Å, b = 3.1030 Å, c = 15.3358 Å
α = 106.79°, β = 106.79°, γ = 90.00°
With the nearest neighbours (Å) after each atom.
Sites, in units of the cell vectors:
N 0.5628 0.5628 0.5397  1 N 1.11
N 0.4372 0.4372 0.4603  1 N 1.11
Sb 0.4907 0.4907 0.8182  4 Ru 2.76
Sb 0.5093 0.5093 0.1818  4 Ru 2.76
Ru 0.1618 0.1618 0.9382  4 Sb 2.76, 4 Ru 2.79-2.80
Ru 0.8382 0.8382 0.0618  4 Sb 2.76, 4 Ru 2.79-2.80

---

Record 7
The following is a DFT calculation (GGA-PBE) of a relaxed structure of SbRuN3.

Output
For the total magnetization, the calculation gives 0.00 μB/f.u. Its volume is 62.1 Å³/cell. The uncorrected formation energy comes out at 1.953 eV per atom. As for the crystal system: cubic.

a = 3.9605 Å, b = 3.9605 Å, c = 3.9605 Å
α = 90.00°, β = 90.00°, γ = 90.00°
With the nearest neighbours (Å) after each atom.
Sites, in units of the cell vectors:
Sb 0.0000 0.0000 0.0000  6 N 1.98
N 0.0000 0.5000 0.0000  2 Sb 1.98
N 0.0000 0.0000 0.5000  2 Sb 1.98
N 0.5000 0.0000 0.0000  2 Sb 1.98
Ru 0.5000 0.5000 0.5000  12 N 2.80

---

Record 8
The following is a DFT calculation (GGA-PBE) of a relaxed structure of SbRuSeN2.

Output
For the total magnetization, the calculation gives 4.27 μB/f.u. Its volume is 90.1 Å³/cell. The uncorrected formation energy comes out at 1.651 eV per atom. As for the crystal system: tetragonal. The calculation puts the energy above the most stable polymorph in this dataset at 799 meV/atom.

a = 3.9554 Å, b = 3.9554 Å, c = 5.7560 Å
α = 90.00°, β = 90.00°, γ = 90.00°
With the nearest neighbours (Å) after each atom.
Sites, in units of the cell vectors:
Sb 0.0000 0.0000 0.0000  4 N 1.98
N 0.0000 0.5000 0.0000  2 Sb 1.98
N 0.5000 0.0000 0.0000  2 Sb 1.98
Se 0.0000 0.0000 0.5000  4 Ru 2.80, 2 Sb 2.88
Ru 0.5000 0.5000 0.5000  4 Se 2.80